## AgBi2H (PBE)

Data for an optimized crystal structure of AgBi2H.

extended XYZ file:
```
4
Lattice="0.000 3.496 3.496 3.496 0.000 3.496 3.496 3.496 0.000" Properties=species:S:1:pos:R:3 pbc="T T T"
Ag 0.000 0.000 0.000
Bi 1.748 1.748 1.748
Bi 5.243 5.243 5.243
H 3.496 3.496 3.496
```

Results
For the total magnetic moment, the calculation gives 0.00 μB per atom. The value obtained for the calculated total energy is -12.249 eV for the cell shown. Its density is 10.2 Mg/m³.